Entry 1:
Ca2MgVRe (PBE-GGA, optimized geometry); D(E_F) = 1.11 states/eV/atom; E_tot = -3.71 eV per atom; E_form = 1723 meV per atom; total magnetic moment = 7.62 μB/cell; space-group type = P4/mmm (123)
1.0
5.4207 0.0000 0.0000
0.0000 5.4207 0.0000
0.0000 0.0000 5.0669
Ca Mg V Re
2 1 1 1
direct
0.0000 0.5000 0.0000
0.5000 0.0000 0.0000
0.0000 0.0000 0.5000
0.0000 0.0000 0.0000
0.5000 0.5000 0.5000

***

Entry 2:
TbIn2Ni2 (PBE-GGA, optimized geometry); D(E_F) = 0.49 states/eV/atom; E_tot = -4.67 eV per atom; E_form = -340 meV per atom; total magnetic moment = 0.00 μB/cell; space-group type = P2_1/m (11)
1.0
5.0890 0.0000 0.0000
0.0000 4.5141 0.0000
-2.3207 0.0000 8.5105
Tb In Ni
2 4 4
direct
0.2100 0.2500 0.2656
0.7900 0.7500 0.7344
0.2097 0.2500 0.6286
0.3515 0.7500 0.0298
0.6485 0.2500 0.9702
0.7903 0.7500 0.3714
0.1059 0.2500 0.9079
0.3438 0.7500 0.4744
0.6562 0.2500 0.5256
0.8941 0.7500 0.0921

***

Entry 3:
TcNi2Au (PBE-GGA, optimized geometry); D(E_F) = 1.26 states/eV/atom; excess energy over the best structure of this formula in the dataset = 604 meV per atom; E_tot = -5.65 eV per atom; E_form = 647 meV per atom; total magnetic moment = 3.34 μB/cell; space-group type = I-42d (122)
1.0
-3.3378 3.3378 2.6852
3.3378 -3.3378 2.6852
3.3378 3.3378 -2.6852
Tc Ni Au
2 4 2
direct
0.0000 0.0000 0.0000
0.7500 0.2500 0.5000
0.1030 0.6250 0.9780
0.3750 0.3530 0.4780
0.6470 0.1250 0.0220
0.8750 0.8970 0.5220
0.2500 0.7500 0.5000
0.5000 0.5000 0.0000

***

Entry 4:
TiFeCoB (PBE-GGA, optimized geometry); D(E_F) = 0.06 states/eV/atom; E_tot = -7.76 eV per atom; E_form = -224 meV per atom; total magnetic moment = 0.00 μB/cell; space-group type = F-43m (216)
1.0
0.0000 2.7265 2.7265
2.7265 0.0000 2.7265
2.7265 2.7265 0.0000
Ti Fe Co B
1 1 1 1
direct
0.0000 0.0000 0.0000
0.7500 0.7500 0.7500
0.2500 0.2500 0.2500
0.5000 0.5000 0.5000

***

Entry 5:
Na4I2BrCl (PBE-GGA, optimized geometry); D(E_F) = 0.00 states/eV/atom; E_tot = -2.92 eV per atom; total magnetic moment = 0.00 μB/cell; ΔE_f (raw) = -1.432 eV/atom; space-group type = Fmm2 (42)
1.0
0.0000 6.2186 4.4343
4.4199 0.0000 4.4343
4.4199 6.2186 0.0000
Na I Br Cl
4 2 1 1
direct
0.0063 0.5263 0.9937
0.2347 0.7653 0.2347
0.5263 0.0063 0.4737
0.7653 0.2347 0.7653
0.2491 0.2491 0.2509
0.7491 0.7491 0.7509
0.5024 0.5024 0.4976
0.9936 0.9936 0.0064

***

Entry 6:
RbTm2Te4Au (PBE-GGA, optimized geometry); E_tot = -4.29 eV per atom; total magnetic moment = 0.00 μB/cell; ΔE_f (raw) = -1.075 eV/atom; space-group type = Cmcm (63)
1.0
2.2036 -7.6401 0.0000
2.2036 7.6401 0.0000
0.0000 0.0000 15.7078
Rb Tm Te Au
2 4 8 2
direct
0.1300 0.8700 0.7500
0.8700 0.1300 0.2500
0.3723 0.6277 0.5723
0.3723 0.6277 0.9277
0.6277 0.3723 0.0723
0.6277 0.3723 0.4277
0.0000 0.0000 0.0000
0.0000 0.0000 0.5000
0.2601 0.7399 0.1012
0.2601 0.7399 0.3988
0.4503 0.5497 0.7500
0.5497 0.4503 0.2500
0.7399 0.2601 0.6012
0.7399 0.2601 0.8988
0.1591 0.8409 0.2500
0.8409 0.1591 0.7500